CsZrN2 | GGA-PBEsol | optimized geometry

Electronic total energy   -5.81 eV/atom
Volume   58.51 Å³/cell

Cell and atoms, written as POSCAR:
```
CsZrN2
1.0
0.000 3.081 3.081
3.081 0.000 3.081
3.081 3.081 0.000
Cs Zr N
1 1 2
Direct
0.000 0.000 0.000
0.500 0.500 0.500
0.250 0.250 0.250
0.750 0.750 0.750
```